An optimized crystal structure of KNbTe, computed with PBE.

## Properties
Formation energy (no corrections) in eV/f.u.: -1.3
Crystal system: tetragonal
Electronic total energy in Ry per atom: -0.3819

Cell: 4.1085 4.1085 12.0160 Å, 90.00 90.00 90.00°
Last column: nearest neighbours and their distance in Å.
Fractional positions:
K  0.2500  0.2500  0.1672  4 Te 3.54
K  0.7500  0.7500  0.8328  4 Te 3.54
Nb  0.2500  0.7500  0.5000  4 Te 2.86, 4 Nb 2.91
Nb  0.7500  0.2500  0.5000  4 Te 2.86, 4 Nb 2.91
Te  0.2500  0.2500  0.6651  4 Nb 2.86
Te  0.7500  0.7500  0.3349  4 Nb 2.86